The following is a DFT calculation (PBE) of crystalline Nb2SbS at its relaxed geometry.

- DOS(E_F): 14.8 states/eV per cell
- Distance to the lowest polymorph of the same formula: 0.0 kJ/mol of atoms

a = 6.596 Å, b = 6.596 Å, c = 6.596 Å
α = 90.00°, β = 90.00°, γ = 90.00°
Space group Fm-3m (No. 225)
Unique sites:
Nb 0.250 0.250 0.250 (multiplicity 8)
Sb 0.000 0.000 0.000 (multiplicity 4)
S 0.000 0.000 0.500 (multiplicity 4)

---

The following is a DFT calculation (PBE) of crystalline Nb2SbS at its relaxed geometry.

- DOS(E_F): 21.1 states/eV per cell
- Distance to the lowest polymorph of the same formula: 28.0 kJ/mol of atoms

a = 4.973 Å, b = 4.973 Å, c = 15.272 Å
α = 90.00°, β = 90.00°, γ = 90.00°
Space group I-42d (No. 122)
Unique sites:
Nb 0.164 0.250 0.125 (multiplicity 8)
Sb 0.000 0.000 0.500 (multiplicity 4)
S 0.000 0.000 0.000 (multiplicity 4)

---

The following is a DFT calculation (PBE) of crystalline Nb2Sb2S at its relaxed geometry.

- DOS(E_F): 6.1 states/eV per cell

a = 7.312 Å, b = 7.312 Å, c = 3.835 Å
α = 90.00°, β = 90.00°, γ = 90.00°
Space group P4/mbm (No. 127)
Unique sites:
Nb 0.152 0.348 0.000 (multiplicity 4)
Sb 0.145 0.645 0.500 (multiplicity 4)
S 0.000 0.000 0.000 (multiplicity 2)

---

The following is a DFT calculation (PBE) of crystalline Nb6SbS12 at its relaxed geometry.

- DOS(E_F): 39.4 states/eV per cell

a = 11.5429 Å, b = 11.5429 Å, c = 9.6461 Å
α = 90.00°, β = 90.00°, γ = 120.00°
Space group R-3m (No. 166, hexagonal axes)
Unique sites:
Nb 0.0627 0.5314 0.2877 (multiplicity 18)
Sb 0.0000 0.0000 0.0000 (multiplicity 3)
S 0.0000 0.3740 0.5000 (multiplicity 18)
S 0.0952 0.1904 0.3667 (multiplicity 18)

---

The following is a DFT calculation (PBE) of crystalline NbSbS4 at its relaxed geometry.

- DOS(E_F): 4.3 states/eV per cell
- Distance to the lowest polymorph of the same formula: 3.1 kJ/mol of atoms

a = 6.367 Å, b = 6.353 Å, c = 6.363 Å
α = 90.00°, β = 93.29°, γ = 90.00°
Space group P2_1/c (No. 14)
Unique sites:
Nb 0.000 0.000 0.000 (multiplicity 2)
Sb 0.500 0.000 0.500 (multiplicity 2)
S 0.122 0.155 0.667 (multiplicity 4)
S 0.343 0.627 0.616 (multiplicity 4)

---

The following is a DFT calculation (PBE) of crystalline Nb2Sb2S7 at its relaxed geometry.

a = 3.501 Å, b = 13.368 Å, c = 12.588 Å
α = 90.00°, β = 90.00°, γ = 90.00°
Space group Imm2 (No. 44)
Unique sites:
Nb 0.000 0.000 0.000 (multiplicity 2)
Nb 0.000 0.500 0.263 (multiplicity 2)
Sb 0.000 0.199 0.541 (multiplicity 4)
S 0.000 0.000 0.609 (multiplicity 2)
S 0.000 0.115 0.851 (multiplicity 4)
S 0.000 0.307 0.184 (multiplicity 4)
S 0.000 0.391 0.583 (multiplicity 4)

---

The following is a DFT calculation (PBE) of crystalline Nb5SbS8 at its relaxed geometry.

- DOS(E_F): 25.4 states/eV per cell

a = 10.628 Å, b = 10.628 Å, c = 10.628 Å
α = 90.00°, β = 90.00°, γ = 90.00°
Space group F-43m (No. 216)
Unique sites:
Nb 0.000 0.000 0.000 (multiplicity 4)
Nb 0.108 0.108 0.608 (multiplicity 16)
Sb 0.250 0.250 0.250 (multiplicity 4)
S 0.116 0.116 0.384 (multiplicity 16)
S 0.134 0.134 0.866 (multiplicity 16)

---

The following is a DFT calculation (PBE) of crystalline NbSbS4 at its relaxed geometry.

- Distance to the lowest polymorph of the same formula: 0.0 kJ/mol of atoms

a = 6.125 Å, b = 6.125 Å, c = 10.602 Å
α = 90.00°, β = 90.00°, γ = 90.00°
Space group I-4 (No. 82)
Unique sites:
Nb 0.000 0.000 0.000 (multiplicity 2)
Sb 0.000 0.500 0.250 (multiplicity 2)
S 0.218 0.775 0.880 (multiplicity 8)

---

The following is a DFT calculation (PBE) of crystalline Nb2Sb5S12 at its relaxed geometry.

- DOS(E_F): 6.3 states/eV per cell

a = 21.296 Å, b = 7.006 Å, c = 6.790 Å
α = 90.00°, β = 103.99°, γ = 90.00°
Space group C2/m (No. 12)
Unique sites:
Nb 0.000 0.242 0.000 (multiplicity 4)
Sb 0.000 0.000 0.500 (multiplicity 2)
Sb 0.158 0.500 0.998 (multiplicity 4)
Sb 0.203 0.000 0.500 (multiplicity 4)
S 0.067 0.258 0.755 (multiplicity 8)
S 0.068 0.000 0.217 (multiplicity 4)
S 0.075 0.500 0.202 (multiplicity 4)
S 0.232 0.244 0.240 (multiplicity 8)

---

The following is a DFT calculation (PBE) of crystalline NbTcSb2S at its relaxed geometry.

- DOS(E_F): 3.2 states/eV per cell

a = 5.459 Å, b = 5.459 Å, c = 4.581 Å
α = 90.00°, β = 90.00°, γ = 90.00°
Space group P4/mmm (No. 123)
Unique sites:
Nb 0.000 0.000 0.000 (multiplicity 1)
Tc 0.500 0.500 0.500 (multiplicity 1)
Sb 0.000 0.500 0.000 (multiplicity 2)
S 0.000 0.000 0.500 (multiplicity 1)

---

The following is a DFT calculation (PBE) of crystalline NbSb2TeS at its relaxed geometry.

- DOS(E_F): 4.0 states/eV per cell
- Distance to the lowest polymorph of the same formula: 33.7 kJ/mol of atoms

a = 5.117 Å, b = 5.117 Å, c = 5.101 Å
α = 90.00°, β = 90.00°, γ = 90.00°
Space group P4/mmm (No. 123)
Unique sites:
Nb 0.000 0.000 0.000 (multiplicity 1)
Sb 0.000 0.500 0.500 (multiplicity 2)
Te 0.500 0.500 0.000 (multiplicity 1)
S 0.500 0.500 0.500 (multiplicity 1)

---

The following is a DFT calculation (PBE) of crystalline NbSb2TeS at its relaxed geometry.

- DOS(E_F): 3.4 states/eV per cell
- Distance to the lowest polymorph of the same formula: 0.0 kJ/mol of atoms

a = 5.345 Å, b = 5.345 Å, c = 5.223 Å
α = 90.00°, β = 90.00°, γ = 90.00°
Space group P4/mmm (No. 123)
Unique sites:
Nb 0.000 0.000 0.000 (multiplicity 1)
Sb 0.000 0.500 0.000 (multiplicity 2)
Te 0.000 0.000 0.500 (multiplicity 1)
S 0.500 0.500 0.500 (multiplicity 1)

---

Respective ρ values: 7.860; 5.972; 7.473; 4.762; 4.432; 3.686; 4.663; 2.864; 3.984; 5.674; 6.168; 5.521 g/cm3.
Respective M_tot values: 0.8; 0.0; 0.0; 3.6; 0.0; 0.0; 2.0; 0.0; 0.0; 4.0; 2.3; 0.0 μB/f.u..
Respective energy relative to the elements, uncorrected values: -0.169; 0.122; -0.131; -0.502; -0.379; -0.606; -0.593; -0.411; -0.385; 0.824; 0.825; 0.475 eV/atom.